(1)
Compound: TcGe
Source: Alexandria
Functional: GGA-PBEsol
Structure: optimized geometry

Cell lengths 3.213, 3.213, 3.324 Å; angles 90.00, 90.00, 120.00 degrees
Positions (direct):
Ge  0.667  0.333  0.500
Tc  0.000  0.000  0.000

spin magnetization	0.0	μB/f.u.
crystal system	hexagonal
total energy	-16.53	eV per cell

(2)
Compound: Li3SbH
Source: Alexandria
Functional: GGA-PBEsol
Structure: optimized geometry

Cell lengths 4.117, 4.117, 4.117 Å; angles 90.00, 90.00, 90.00 degrees
Positions (direct):
Sb  0.500  0.500  0.500
Li  0.000  0.500  0.000
Li  0.000  0.000  0.500
Li  0.500  0.000  0.000
H  0.000  0.000  0.000

spin magnetization	0.0	μB/f.u.
crystal system	cubic
total energy	-16.08	eV per cell

(3)
Compound: KSc2SnTe
Source: Alexandria
Functional: GGA-PBEsol
Structure: optimized geometry

Cell lengths 5.336, 5.336, 5.793 Å; angles 90.00, 90.00, 90.00 degrees
Positions (direct):
Sc  0.000  0.500  0.000
Sc  0.500  0.000  0.000
K  0.000  0.000  0.500
Te  0.000  0.000  0.000
Sn  0.500  0.500  0.500

spin magnetization	0.0	μB/f.u.
crystal system	tetragonal
ΔE_f (raw)	20	meV/atom

(4)
Compound: InSi2Se
Source: Alexandria
Functional: GGA-PBEsol
Structure: optimized geometry

Cell lengths 3.334, 4.770, 4.770 Å; angles 90.00, 90.00, 90.00 degrees
Positions (direct):
In  0.500  0.500  0.500
Se  0.500  0.000  0.000
Si  0.000  0.000  0.500
Si  0.000  0.500  0.000

spin magnetization	0.0	μB/f.u.
crystal system	tetragonal
ΔE_f (raw)	388	meV/atom

(5)
Compound: CaLaAg2
Source: Alexandria
Functional: GGA-PBEsol
Structure: optimized geometry

Cell lengths 3.582, 5.292, 5.292 Å; angles 90.07, 90.00, 90.00 degrees
Positions (direct):
Ca  0.500  0.000  0.000
Ag  0.000  0.500  0.000
Ag  0.000  0.000  0.500
La  0.500  0.500  0.500

spin magnetization	0.0	μB/f.u.
crystal system	orthorhombic
distance to the lowest polymorph of the same formula	23	meV/atom

(6)
Compound: CsRbTe2Os
Source: Alexandria
Functional: GGA-PBEsol
Structure: optimized geometry

Cell lengths 6.222, 6.222, 6.446 Å; angles 90.00, 90.00, 90.00 degrees
Each line ends with the local moment (μB).
Positions (direct):
Cs  0.000  0.000  0.500  0.00
Te  0.000  0.500  0.000  0.16
Te  0.500  0.000  0.000  0.16
Os  0.500  0.500  0.500  3.38
Rb  0.000  0.000  0.000  0.01

spin magnetization	4.6	μB/f.u.
crystal system	tetragonal
ΔE_f (raw)	1735	meV/atom

(7)
Compound: Be2AlBiRh
Source: Alexandria
Functional: GGA-PBEsol
Structure: optimized geometry

Cell lengths 4.272, 4.272, 5.233 Å; angles 90.00, 90.00, 90.00 degrees
Positions (direct):
Be  0.000  0.500  0.000
Be  0.500  0.000  0.000
Rh  0.000  0.000  0.000
Bi  0.000  0.000  0.500
Al  0.500  0.500  0.500

spin magnetization	0.0	μB/f.u.
crystal system	tetragonal
total energy	-22.00	eV per cell

(8)
Compound: TiHgNF2
Source: Alexandria
Functional: GGA-PBEsol
Structure: optimized geometry

Cell lengths 4.106, 4.402, 4.402 Å; angles 90.00, 90.00, 90.00 degrees
Each line ends with the local moment (μB).
Positions (direct):
N  0.500  0.000  0.000  -0.44
F  0.000  0.000  0.500  -0.01
F  0.000  0.500  0.000  -0.01
Hg  0.000  0.000  0.000  -0.06
Ti  0.500  0.500  0.500  1.75

spin magnetization	1.4	μB/f.u.
crystal system	tetragonal
ΔE_f (raw)	119	meV/atom

(9)
Compound: Ti5CoSb3
Source: Alexandria
Functional: GGA-PBEsol
Structure: optimized geometry

Cell lengths 5.373, 8.084, 8.084 Å; angles 120.00, 90.00, 90.00 degrees
Positions (direct):
Ti  0.750  0.000  0.748
Ti  0.250  0.000  0.252
Ti  0.750  0.748  0.000
Ti  0.250  0.252  0.000
Ti  0.750  0.252  0.252
Ti  0.250  0.748  0.748
Ti  0.000  0.333  0.667
Ti  0.000  0.667  0.333
Ti  0.500  0.667  0.333
Ti  0.500  0.333  0.667
Co  0.000  0.000  0.000
Co  0.500  0.000  0.000
Sb  0.750  0.000  0.390
Sb  0.250  0.000  0.610
Sb  0.750  0.390  0.000
Sb  0.250  0.610  0.000
Sb  0.750  0.610  0.610
Sb  0.250  0.390  0.390

spin magnetization	0.0	μB/f.u.
crystal system	hexagonal
ΔE_f (raw)	-552	meV/atom

(10)
Compound: ZrBe2Re2
Source: Alexandria
Functional: GGA-PBEsol
Structure: optimized geometry

Cell lengths 4.170, 4.170, 5.029 Å; angles 114.50, 114.50, 90.00 degrees
Positions (direct):
Re  0.352  0.352  0.705
Re  0.648  0.648  0.295
Zr  0.000  0.000  0.000
Be  0.250  0.750  0.500
Be  0.750  0.250  0.500

spin magnetization	0.0	μB/f.u.
crystal system	tetragonal
total energy	-42.98	eV per cell

(11)
Compound: LiCaNO2
Source: Alexandria
Functional: GGA-PBEsol
Structure: optimized geometry

Cell lengths 3.756, 3.771, 3.771 Å; angles 90.00, 90.00, 90.00 degrees
Each line ends with the local moment (μB).
Positions (direct):
Ca  0.500  0.500  0.500  0.01
Li  0.000  0.000  0.000  0.01
O  0.000  0.000  0.500  0.80
O  0.000  0.500  0.000  0.80
N  0.500  0.000  0.000  1.49

spin magnetization	4.0	μB/f.u.
crystal system	tetragonal
ΔE_f (raw)	-482	meV/atom

(12)
Compound: Cs2Cd2Cl
Source: Alexandria
Functional: GGA-PBEsol
Structure: optimized geometry

Cell lengths 4.157, 4.157, 10.977 Å; angles 100.91, 100.91, 90.00 degrees
Positions (direct):
Cs  0.407  0.407  0.814
Cs  0.593  0.593  0.186
Cd  0.250  0.750  0.500
Cd  0.750  0.250  0.500
Cl  0.000  0.000  0.000

spin magnetization	0.0	μB/f.u.
crystal system	tetragonal
ΔE_f (raw)	-734	meV/atom